# 1
# CeNd2Ge4Pt3 | Alexandria via LeMat-Bulk | GGA-PBE | optimized geometry
# total magnetization	0.48	μB per formula unit
# calculated total energy	-60.43	eV for the cell shown
data_CeNd2Ge4Pt3
_chemical_formula_sum 'Ce1 Nd2 Ge4 Pt3'
_cell_length_a 4.3298
_cell_length_b 4.3298
_cell_length_c 11.4991
_cell_angle_alpha 90.00
_cell_angle_beta 90.00
_cell_angle_gamma 90.00
_space_group_name_H-M_alt 'P 1'
_space_group_IT_number 1
loop_
_space_group_symop_operation_xyz
'x,y,z'
loop_
_atom_site_label
_atom_site_type_symbol
_atom_site_fract_x
_atom_site_fract_y
_atom_site_fract_z
Ce1 Ce 0.5000 0.5000 0.5000
Nd1 Nd 0.5000 0.0000 0.2244
Nd2 Nd 0.0000 0.5000 0.7756
Ge1 Ge 0.5000 0.5000 0.0000
Ge2 Ge 0.0000 0.0000 0.0000
Ge3 Ge 0.5000 0.0000 0.6696
Ge4 Ge 0.0000 0.5000 0.3304
Pt1 Pt 0.0000 0.0000 0.5000
Pt2 Pt 0.5000 0.0000 0.8853
Pt3 Pt 0.0000 0.5000 0.1147

***

# 2
# PrInOsO6 | Alexandria via LeMat-Bulk | GGA-PBE | optimized geometry
# formation energy from raw total energies	-1766	meV/atom
# total magnetization	2.00	μB per formula unit
# calculated total energy	-128.78	eV for the cell shown
data_PrInOsO6
_chemical_formula_sum 'Pr2 In2 Os2 O12'
_cell_length_a 5.4629
_cell_length_b 5.4629
_cell_length_c 10.0496
_cell_angle_alpha 90.00
_cell_angle_beta 90.00
_cell_angle_gamma 120.00
_space_group_name_H-M_alt 'P 1'
_space_group_IT_number 1
loop_
_space_group_symop_operation_xyz
'x,y,z'
loop_
_atom_site_label
_atom_site_type_symbol
_atom_site_fract_x
_atom_site_fract_y
_atom_site_fract_z
Pr1 Pr 0.0000 0.0000 0.0000
Pr2 Pr 0.0000 0.0000 0.5000
In1 In 0.3333 0.6667 0.2500
In2 In 0.6667 0.3333 0.7500
Os1 Os 0.6667 0.3333 0.2500
Os2 Os 0.3333 0.6667 0.7500
O1 O 0.6558 0.6215 0.1406
O2 O 0.9657 0.3442 0.1406
O3 O 0.3442 0.9657 0.6406
O4 O 0.0343 0.6558 0.8594
O5 O 0.3785 0.3442 0.3594
O6 O 0.9657 0.6215 0.3594
O7 O 0.6215 0.9657 0.8594
O8 O 0.6558 0.0343 0.3594
O9 O 0.0343 0.3785 0.6406
O10 O 0.3785 0.0343 0.1406
O11 O 0.6215 0.6558 0.6406
O12 O 0.3442 0.3785 0.8594

***

# 3
# NaPrTe2Au | Alexandria via LeMat-Bulk | GGA-PBE | optimized geometry
# formation energy from raw total energies	-833	meV/atom
# total magnetization	0.00	μB per formula unit
# calculated total energy	-39.65	eV for the cell shown
data_NaPrTe2Au
_chemical_formula_sum 'Na2 Pr2 Te4 Au2'
_cell_length_a 4.9200
_cell_length_b 7.8569
_cell_length_c 8.4028
_cell_angle_alpha 97.47
_cell_angle_beta 90.00
_cell_angle_gamma 90.00
_space_group_name_H-M_alt 'P 1'
_space_group_IT_number 1
loop_
_space_group_symop_operation_xyz
'x,y,z'
loop_
_atom_site_label
_atom_site_type_symbol
_atom_site_fract_x
_atom_site_fract_y
_atom_site_fract_z
Na1 Na 0.1431 0.5000 0.7500
Na2 Na 0.8569 0.5000 0.2500
Pr1 Pr 0.4950 0.0000 0.2500
Pr2 Pr 0.5050 0.0000 0.7500
Te1 Te 0.6843 0.7108 0.9687
Te2 Te 0.6843 0.2892 0.5313
Te3 Te 0.3157 0.7108 0.4687
Te4 Te 0.3157 0.2892 0.0313
Au1 Au 0.0000 0.0000 0.0000
Au2 Au 0.0000 0.0000 0.5000

***

# 4
# SrTc4Rh2 | Alexandria via LeMat-Bulk | GGA-PBE | optimized geometry
# total magnetization	3.29	μB per formula unit
# calculated total energy	-42.49	eV for the cell shown
data_SrTc4Rh2
_chemical_formula_sum 'Sr1 Tc4 Rh2'
_cell_length_a 4.7677
_cell_length_b 4.7677
_cell_length_c 7.2954
_cell_angle_alpha 70.93
_cell_angle_beta 70.93
_cell_angle_gamma 90.00
_space_group_name_H-M_alt 'P 1'
_space_group_IT_number 1
loop_
_space_group_symop_operation_xyz
'x,y,z'
loop_
_atom_site_label
_atom_site_type_symbol
_atom_site_fract_x
_atom_site_fract_y
_atom_site_fract_z
Sr1 Sr 0.0000 0.0000 0.0000
Rh1 Rh 0.6075 0.6075 0.7849
Rh2 Rh 0.3925 0.3925 0.2151
Tc1 Tc 0.7868 0.7868 0.4263
Tc2 Tc 0.2132 0.2132 0.5737
Tc3 Tc 0.0000 0.5000 0.0000
Tc4 Tc 0.5000 0.0000 0.0000

***

# 5
# AgRhI | Alexandria via LeMat-Bulk | GGA-PBE | optimized geometry
# formation energy from raw total energies	149	meV/atom
# total magnetization	0.00	μB per formula unit
# ΔE to the lowest computed polymorph	0.0	meV per atom
# calculated total energy	-45.22	eV for the cell shown
data_AgRhI
_chemical_formula_sum 'Ag4 Rh4 I4'
_cell_length_a 8.8679
_cell_length_b 4.5097
_cell_length_c 7.8237
_cell_angle_alpha 90.00
_cell_angle_beta 107.27
_cell_angle_gamma 90.00
_space_group_name_H-M_alt 'P 1'
_space_group_IT_number 1
loop_
_space_group_symop_operation_xyz
'x,y,z'
loop_
_atom_site_label
_atom_site_type_symbol
_atom_site_fract_x
_atom_site_fract_y
_atom_site_fract_z
Ag1 Ag 0.0041 0.0000 0.6769
Ag2 Ag 0.0041 0.5000 0.1769
Ag3 Ag 0.1905 0.0000 0.0735
Ag4 Ag 0.1905 0.5000 0.5735
Rh1 Rh 0.3458 0.0000 0.7930
Rh2 Rh 0.3458 0.5000 0.2930
Rh3 Rh 0.1492 0.0000 0.3925
Rh4 Rh 0.1492 0.5000 0.8925
I1 I 0.4482 0.0000 0.4940
I2 I 0.4482 0.5000 0.9940
I3 I 0.8297 0.0000 0.2848
I4 I 0.8297 0.5000 0.7848

***

# 6
# La5Tb2YEr | Alexandria via LeMat-Bulk | GGA-PBE | optimized geometry
# total magnetization	0.00	μB per formula unit
# calculated total energy	-87.50	eV for the cell shown
data_La5Tb2YEr
_chemical_formula_sum 'La10 Tb4 Y2 Er2'
_cell_length_a 5.6897
_cell_length_b 10.7979
_cell_length_c 10.8018
_cell_angle_alpha 90.00
_cell_angle_beta 90.00
_cell_angle_gamma 105.28
_space_group_name_H-M_alt 'P 1'
_space_group_IT_number 1
loop_
_space_group_symop_operation_xyz
'x,y,z'
loop_
_atom_site_label
_atom_site_type_symbol
_atom_site_fract_x
_atom_site_fract_y
_atom_site_fract_z
La1 La 0.3806 0.7612 0.0178
La2 La 0.7231 0.4461 0.8176
La3 La 0.4878 0.9756 0.7470
La4 La 0.2945 0.5891 0.7079
La5 La 0.9867 0.9734 0.5095
La6 La 0.6194 0.2388 0.5178
La7 La 0.2769 0.5539 0.3176
La8 La 0.5122 0.0244 0.2470
La9 La 0.7055 0.4109 0.2079
La10 La 0.0133 0.0266 0.0095
Tb1 Tb 0.8866 0.7733 0.7994
Tb2 Tb 0.1151 0.2301 0.7398
Tb3 Tb 0.1134 0.2267 0.2994
Tb4 Tb 0.8849 0.7699 0.2398
Y1 Y 0.8035 0.6070 0.5131
Y2 Y 0.1965 0.3930 0.0131
Er1 Er 0.5961 0.1921 0.9719
Er2 Er 0.4039 0.8079 0.4719

***

# 7
# Sr2TeI | Alexandria via LeMat-Bulk | GGA-PBE | optimized geometry
# formation energy from raw total energies	-1294	meV/atom
# total magnetization	0.00	μB per formula unit
# ΔE to the lowest computed polymorph	131.0	meV per atom
# calculated total energy	-13.23	eV for the cell shown
data_Sr2TeI
_chemical_formula_sum 'Sr2 Te1 I1'
_cell_length_a 5.7898
_cell_length_b 5.7898
_cell_length_c 5.7898
_cell_angle_alpha 60.00
_cell_angle_beta 60.00
_cell_angle_gamma 60.00
_space_group_name_H-M_alt 'P 1'
_space_group_IT_number 1
loop_
_space_group_symop_operation_xyz
'x,y,z'
loop_
_atom_site_label
_atom_site_type_symbol
_atom_site_fract_x
_atom_site_fract_y
_atom_site_fract_z
I1 I 0.5000 0.5000 0.5000
Sr1 Sr 0.2500 0.2500 0.2500
Sr2 Sr 0.7500 0.7500 0.7500
Te1 Te 0.0000 0.0000 0.0000

***

# 8
# Tm2ThNi | Alexandria via LeMat-Bulk | GGA-PBE | optimized geometry
# total magnetization	0.00	μB per formula unit
# ΔE to the lowest computed polymorph	57.2	meV per atom
# calculated total energy	-22.91	eV for the cell shown
data_Tm2ThNi
_chemical_formula_sum 'Tm2 Th1 Ni1'
_cell_length_a 3.4099
_cell_length_b 3.4099
_cell_length_c 8.5125
_cell_angle_alpha 90.00
_cell_angle_beta 90.00
_cell_angle_gamma 90.00
_space_group_name_H-M_alt 'P 1'
_space_group_IT_number 1
loop_
_space_group_symop_operation_xyz
'x,y,z'
loop_
_atom_site_label
_atom_site_type_symbol
_atom_site_fract_x
_atom_site_fract_y
_atom_site_fract_z
Ni1 Ni 0.5000 0.5000 0.0000
Tm1 Tm 0.0000 0.0000 0.8124
Tm2 Tm 0.0000 0.0000 0.1876
Th1 Th 0.5000 0.5000 0.5000

***

no.,DOS(E_F) (states/eV/f.u.)
1,7.1
2,4.0
3,3.1
4,9.1
5,1.6
6,14.5
7,2.2
8,5.0